# PBE with a Hubbard U Sc2AlFeO6, relaxed
data_Sc2AlFeO6
_space_group_name_H-M_alt 'R 3'
_space_group_IT_number 146
_space_group_name_Hall 'R 3'
_cell_length_a 5.1391
_cell_length_b 5.1391
_cell_length_c 13.4492
_cell_angle_alpha 90.00
_cell_angle_beta 90.00
_cell_angle_gamma 120.00
loop_
_atom_site_label
_atom_site_type_symbol
_atom_site_fract_x
_atom_site_fract_y
_atom_site_fract_z
Sc1 Sc 0.0000 0.0000 0.0000
Sc2 Sc 0.0000 0.0000 0.4970
Al1 Al 0.0000 0.0000 0.2136
Fe1 Fe 0.0000 0.0000 0.7103
O1 O 0.0539 0.3446 0.2820
O2 O 0.0592 0.7039 0.7842
# Total DFT energy (no corrections) ... -7.854 eV/atom
# Magnetization ... 3.03 Bohr magnetons per cell
# D(E_F) ... 0.00 states/eV/cell